Below is ZrSbTe2W at its PBEsol-relaxed geometry, with properties calculated at the meta-GGA SCAN level.

Computed properties:
density: 7.68 g/cm³
energy relative to the lowest polymorph listed for this composition: 0.00 eV/f.u.
raw formation energy: 0.883 eV/atom
symmetry: P4/mmm, No. 123
DFT total energy: -41.55 eV per atom

POSCAR file:
```
ZrSbTe2W
1.0
5.211 0.000 0.000
0.000 5.211 0.000
0.000 0.000 5.190
Zr Sb Te W
1 1 2 1
Direct
0.000 0.000 0.000
0.500 0.500 0.000
0.000 0.500 0.500
0.500 0.000 0.500
0.500 0.500 0.500
```